Below is SiSnAs2 after structural relaxation, with properties calculated at the PBE-GGA level.

Calculated values
formation energy from raw total energies	0.10	eV/atom
distance to the lowest polymorph of the same formula	0.0128	eV/atom
space group	Pnma

Cell: 9.3858 5.8206 14.3345 Å, 90.00 90.00 90.00°
With the nearest neighbours (Å) after each atom.
Atoms (fractional coordinates):
Si 0.0454 0.2500 0.0514  3 As 2.42-2.43
Si 0.2175 0.2500 0.5532  4 As 2.39-2.41
Si 0.2825 0.7500 0.0532  4 As 2.39-2.41
Si 0.4546 0.7500 0.5514  3 As 2.42-2.43
Si 0.5454 0.2500 0.4486  3 As 2.42-2.43
Si 0.7175 0.2500 0.9468  4 As 2.39-2.41
Si 0.7825 0.7500 0.4468  4 As 2.39-2.41
Si 0.9546 0.7500 0.9486  3 As 2.42-2.43
Sn 0.0324 0.7500 0.6210  4 As 2.81-3.14
Sn 0.1189 0.2500 0.8672  1 Si 2.73, 2 As 3.03
Sn 0.3811 0.7500 0.3672  1 Si 2.73, 2 As 3.03
Sn 0.4676 0.2500 0.1210  4 As 2.81-3.14
Sn 0.5324 0.7500 0.8790  4 As 2.81-3.14
Sn 0.6189 0.2500 0.6328  1 Si 2.73, 2 As 3.03
Sn 0.8811 0.7500 0.1328  1 Si 2.73, 2 As 3.03
Sn 0.9676 0.2500 0.3790  4 As 2.81-3.14
As 0.0352 0.7500 0.4249  1 Si 2.39
As 0.1672 0.0041 0.1624  2 Si 2.41-2.43
As 0.1672 0.4959 0.1624  2 Si 2.41-2.43
As 0.1989 0.7500 0.8953  2 Si 2.40-2.42
As 0.3011 0.2500 0.3953  2 Si 2.40-2.42
As 0.3328 0.5041 0.6624  2 Si 2.41-2.43
As 0.3328 0.9959 0.6624  2 Si 2.41-2.43
As 0.4648 0.2500 0.9249  1 Si 2.39
As 0.5352 0.7500 0.0751  1 Si 2.39
As 0.6672 0.0041 0.3376  2 Si 2.41-2.43
As 0.6672 0.4959 0.3376  2 Si 2.41-2.43
As 0.6989 0.7500 0.6047  2 Si 2.40-2.42
As 0.8011 0.2500 0.1047  2 Si 2.40-2.42
As 0.8328 0.5041 0.8376  2 Si 2.41-2.43
As 0.8328 0.9959 0.8376  2 Si 2.41-2.43
As 0.9648 0.2500 0.5751  1 Si 2.39